(1)
Below is crystalline ScTaAu3 at its relaxed geometry, with properties calculated at the PBE level.

Geometry as POSCAR:
```
ScTaAu3
1.0
-1.245 -4.121 2.665
4.834 -0.557 1.397
-0.844 2.888 4.072
Sc Ta Au
1 1 3
Cartesian
1.373 -0.895 4.067
0.000 0.000 0.000
-0.622 -2.060 1.332
2.417 -0.278 0.699
-0.422 1.444 2.036
```

Calculated values
Calculated formation energy, meV/atom: 616
Relative energy among the computed polymorphs, eV per atom: 0.000
Fermi-level density of states, states/eV per atom: 1.375

(2)
Below is crystalline MgTa2W at its relaxed geometry, with properties calculated at the PBE level.

Geometry as POSCAR:
```
MgTa2W
1.0
5.423 -0.002 0.001
2.429 4.848 -0.001
-3.495 -3.121 2.729
Ta W Mg
2 1 1
Cartesian
2.812 -0.421 1.365
7.808 4.819 0.000
4.017 2.479 0.000
1.498 2.117 1.364
```

Calculated values
Calculated formation energy, meV/atom: 299
Fermi-level density of states, states/eV per atom: 0.931

(3)
Below is crystalline Ce4IrS2Cl at its relaxed geometry, with properties calculated at the PBE level.

Geometry as POSCAR:
```
Ce4IrS2Cl
1.0
3.970 0.000 0.000
0.000 7.145 -0.182
0.000 2.480 6.630
Ce S Ir Cl
4 2 1 1
Cartesian
1.985 3.593 4.985
3.970 2.399 1.528
1.985 6.032 1.463
0.000 7.227 4.920
0.000 2.480 6.630
1.985 1.240 3.315
1.985 3.572 -0.091
0.000 4.813 3.224
```

Calculated values
Formation energy (no corrections), eV/atom: -1.539
Fermi-level density of states, states/eV per atom: 2.566

(4)
Below is crystalline Rb2GaAuF6 at its relaxed geometry, with properties calculated at the PBE level.

Geometry as POSCAR:
```
Rb2GaAuF6
1.0
-5.893 1.760 -2.652
1.885 -2.567 -5.893
-3.575 -4.035 -3.192
F Au Rb Ga
6 1 2 1
Cartesian
-4.804 -2.647 -7.997
-2.779 -2.195 -3.739
-2.803 -0.564 -5.974
-1.206 -0.243 -2.570
-0.455 -1.265 -4.918
-3.554 0.459 -3.626
0.000 0.000 0.000
-1.847 -3.503 -6.679
-5.736 -1.339 -5.058
-2.004 -0.403 -4.272
```

Calculated values
Formation energy (no corrections), eV/atom: -2.287
Fermi-level density of states, states/eV per atom: 0.000

(5)
Below is crystalline AcHfNi2 at its relaxed geometry, with properties calculated at the PBE level.

Geometry as POSCAR:
```
AcHfNi2
1.0
-2.005 -1.734 2.078
0.474 -2.771 -1.855
5.601 -1.706 3.981
Ni Ac Hf
2 1 1
Cartesian
1.034 -0.315 0.735
4.567 -1.391 3.246
2.035 -3.106 2.102
-0.765 -2.252 0.111
```

Calculated values
Calculated formation energy, meV/atom: -239
Fermi-level density of states, states/eV per atom: 1.117

(6)
Below is crystalline Ba2TlSe at its relaxed geometry, with properties calculated at the PBE level.

Geometry as POSCAR:
```
Ba2TlSe
1.0
6.894 0.000 0.000
0.000 4.681 -0.001
0.000 0.001 5.113
Tl Se Ba
1 1 2
Cartesian
3.447 4.096 4.476
0.000 1.758 1.914
0.000 4.099 4.471
3.447 1.754 1.920
```

Calculated values
Formation energy (no corrections), eV/atom: -0.948
Relative energy among the computed polymorphs, eV per atom: 0.128
Fermi-level density of states, states/eV per atom: 0.912

(7)
Below is crystalline RbInSeI2 at its relaxed geometry, with properties calculated at the PBE level.

Geometry as POSCAR:
```
RbInSeI2
1.0
-2.568 -4.589 -3.220
0.693 -3.774 4.827
-4.760 1.410 1.786
Rb In Se I
1 1 1 2
Cartesian
-3.317 -3.477 1.697
0.000 0.000 0.000
-2.380 0.705 0.893
0.346 -1.887 2.413
-1.284 -2.295 -1.610
```

Calculated values
Formation energy (no corrections), eV/atom: -0.690
Fermi-level density of states, states/eV per atom: 0.886

(8)
Below is crystalline TaIn2Cl2 at its relaxed geometry, with properties calculated at the PBE level.

Geometry as POSCAR:
```
TaIn2Cl2
1.0
8.716 0.000 0.000
0.000 8.716 0.000
0.000 0.000 3.195
Cl Ta In
4 2 4
Cartesian
5.428 7.646 1.598
1.070 5.428 1.598
7.646 3.288 1.598
3.288 1.070 1.598
4.358 4.358 0.000
0.000 0.000 0.000
1.672 2.686 0.000
6.030 1.672 0.000
2.686 7.043 0.000
7.043 6.030 0.000
```

Calculated values
Formation energy (no corrections), eV/atom: 0.428
Relative energy among the computed polymorphs, eV per atom: 0.000
Fermi-level density of states, states/eV per atom: 0.925

Short version: total moment = 0.13 0.00 0.40 0.00 0.00 0.00 0.00 0.00 μB/atom, in the order given.